Entry 1:
The following is a GGA-PBE calculation of a geometry-optimized Ho2CuTc structure, from Alexandria.

POSCAR file:
```
Ho2CuTc
1.0
3.434 0.000 0.000
0.000 3.434 0.000
0.000 0.000 6.939
Ho Cu Tc
2 1 1
Cartesian
0.000 0.000 1.643
0.000 0.000 5.297
1.717 1.717 3.470
1.717 1.717 0.000
```

For the formation energy, the calculation gives -0.142 eV/atom.

=====

Entry 2:
The following is a GGA-PBE calculation of a geometry-optimized Ho2CuTc structure, from Alexandria.

POSCAR file:
```
Ho2CuTc
1.0
0.000 3.426 3.426
3.426 0.000 3.426
3.426 3.426 0.000
Ho Cu Tc
2 1 1
Cartesian
1.713 1.713 1.713
5.138 5.138 5.138
0.000 0.000 0.000
3.426 3.426 3.426
```

For the formation energy, the calculation gives -0.117 eV/atom.

=====

Entry 3:
The following is a GGA-PBE calculation of a geometry-optimized Ho8CuTc2 structure, from Alexandria.

POSCAR file:
```
Ho8CuTc2
1.0
4.240 -6.326 0.000
4.240 6.326 0.000
-1.887 0.000 5.474
Ho Cu Tc
8 1 2
Cartesian
0.000 0.000 0.000
0.202 1.677 3.276
2.748 2.755 1.064
0.202 -1.677 3.276
3.366 1.666 4.359
2.748 -2.755 1.064
3.366 -1.666 4.359
5.551 0.000 2.159
3.083 0.000 0.247
1.792 3.924 3.837
1.792 -3.924 3.837
```

For the formation energy, the calculation gives -0.029 eV/atom.

=====

Entry 4:
The following is a GGA-PBE calculation of a geometry-optimized Ho2CuTc3 structure, from Alexandria.

POSCAR file:
```
Ho2CuTc3
1.0
4.539 -2.612 0.000
4.539 2.612 0.000
-3.030 0.000 4.561
Ho Cu Tc
2 1 3
Cartesian
-0.001 0.000 1.672
6.049 0.000 2.889
3.024 0.000 2.280
2.269 1.306 0.000
2.269 -1.306 0.000
4.539 0.000 0.000
```

For the formation energy, the calculation gives -0.208 eV/atom.

=====

Entry 5:
The following is a GGA-PBE calculation of a geometry-optimized HoCu4Tc structure, from Alexandria.

POSCAR file:
```
HoCu4Tc
1.0
0.000 3.519 3.519
3.519 0.000 3.519
3.519 3.519 0.000
Ho Cu Tc
1 4 1
Cartesian
0.000 0.000 0.000
4.391 2.647 2.647
2.647 4.391 2.647
2.647 2.647 4.391
4.391 4.391 4.391
1.759 1.759 1.759
```

For the formation energy, the calculation gives 0.032 eV/atom.

=====

Entry 6:
The following is a GGA-PBE calculation of a geometry-optimized HoThCuTc structure, from Alexandria.

POSCAR file:
```
HoThCuTc
1.0
3.501 0.000 0.000
0.000 3.501 0.000
0.000 0.000 7.118
Ho Th Cu Tc
1 1 1 1
Cartesian
0.000 0.000 0.000
0.000 0.000 3.710
1.750 1.750 1.690
1.750 1.750 5.366
```

For the formation energy, the calculation gives -0.146 eV/atom. Its energy above the most stable polymorph in this dataset is 0.0 meV/atom.

=====

Entry 7:
The following is a GGA-PBE calculation of a geometry-optimized HoThCuTc structure, from Alexandria.

POSCAR file:
```
HoThCuTc
1.0
0.000 3.504 3.504
3.504 0.000 3.504
3.504 3.504 0.000
Ho Th Cu Tc
1 1 1 1
Cartesian
0.000 0.000 0.000
3.504 3.504 3.504
1.752 1.752 1.752
5.255 5.255 5.255
```

For the formation energy, the calculation gives -0.137 eV/atom. Its energy above the most stable polymorph in this dataset is 8.7 meV/atom.

=====

Entry 8:
The following is a GGA-PBE calculation of a geometry-optimized Ho3Tm3CuTc2 structure, from Alexandria.

POSCAR file:
```
Ho3Tm3CuTc2
1.0
7.980 0.000 0.000
-3.990 6.911 0.000
0.000 0.000 3.816
Ho Tm Cu Tc
3 3 1 2
Cartesian
-2.937 5.086 0.000
1.053 1.824 0.000
5.873 0.000 0.000
-1.624 2.813 1.908
3.248 0.000 1.908
2.366 4.098 1.908
0.000 0.000 1.908
0.000 4.607 0.000
3.990 2.304 0.000
```

For the formation energy, the calculation gives -0.048 eV/atom.

=====

Entry 9:
The following is a GGA-PBE calculation of a geometry-optimized Ho6CuTe3 structure, from Alexandria.

POSCAR file:
```
Ho6CuTe3
1.0
11.904 0.000 0.000
0.000 3.984 0.000
-3.455 0.000 12.134
Ho Cu Te
12 2 6
Cartesian
-0.987 0.996 4.265
-2.165 0.996 10.778
2.133 2.988 3.870
0.718 2.988 9.303
2.837 0.996 6.788
4.915 2.988 1.735
3.534 0.996 10.399
5.612 2.988 5.346
7.731 0.996 2.831
6.316 0.996 8.264
10.615 2.988 1.356
9.436 2.988 7.869
4.303 0.996 3.820
4.146 2.988 8.314
1.003 0.996 1.775
0.262 2.988 6.313
0.747 0.996 11.646
7.702 2.988 0.487
8.187 0.996 5.821
7.446 2.988 10.359
```

The formation energy (no corrections) comes out at -724 meV per atom.

=====

Entry 10:
The following is a GGA-PBE calculation of a geometry-optimized Ho2CuTe structure, from Alexandria.

POSCAR file:
```
Ho2CuTe
1.0
3.751 0.000 0.000
0.000 3.751 0.000
0.000 0.000 6.797
Ho Cu Te
2 1 1
Cartesian
0.000 0.000 1.599
0.000 0.000 5.198
1.876 1.876 0.000
1.876 1.876 3.399
```

The formation energy (no corrections) comes out at -581 meV per atom. Its energy above the most stable polymorph in this dataset is 171.5 meV/atom.

=====

Entry 11:
The following is a GGA-PBE calculation of a geometry-optimized Ho2CuTe structure, from Alexandria.

POSCAR file:
```
Ho2CuTe
1.0
2.010 -11.389 0.000
2.010 11.389 0.000
0.000 0.000 4.396
Ho Cu Te
4 2 2
Cartesian
2.010 10.055 3.297
2.010 3.692 3.297
2.010 -3.692 1.099
2.010 -10.055 1.099
2.010 0.774 3.297
2.010 -0.774 1.099
2.010 6.927 3.297
2.010 -6.927 1.099
```

The formation energy (no corrections) comes out at -752 meV per atom. Its energy above the most stable polymorph in this dataset is 0.0 meV/atom.

=====

Entry 12:
The following is a GGA-PBE calculation of a geometry-optimized HoCu2Te2 structure, from Alexandria.

POSCAR file:
```
HoCu2Te2
1.0
4.260 -6.373 0.000
4.260 6.373 0.000
-4.077 0.000 4.429
Ho Cu Te
2 4 4
Cartesian
1.202 4.965 3.322
3.240 -4.965 1.107
-0.954 0.444 4.070
1.085 -0.444 1.855
3.357 0.444 2.574
5.396 -0.444 0.359
3.240 4.566 1.107
1.202 1.765 3.322
3.240 -1.765 1.107
1.202 -4.566 3.322
```

The formation energy (no corrections) comes out at -486 meV per atom.

=====

| no. | total moment (μB/atom) |
| --- | --- |
| 1 | 0.00 |
| 2 | 0.00 |
| 3 | 0.00 |
| 4 | 0.00 |
| 5 | 0.00 |
| 6 | 0.00 |
| 7 | 0.00 |
| 8 | 0.00 |
| 9 | 0.00 |
| 10 | 0.16 |
| 11 | 0.00 |
| 12 | 0.00 |